## BiH6IN2 (PBE-GGA)

Data for an optimized crystal structure of BiH6IN2.

raw total energy: -4.57 eV/atom
calculated density: 3.9 g/cm3

Unit cell a=10.772 b=12.862 c=5.124 alpha=90.00 beta=118.25 gamma=90.00
Space group C2/c (No. 15)
Unique sites:
Bi1 0.000 0.079 0.250
H1 0.180 0.491 0.429
H2 0.191 0.380 0.599
H3 0.192 0.380 0.281
I1 0.000 0.305 0.750
N1 0.230 0.420 0.479



## Cs2InSn4Pb3 (PBE-GGA)

Data for an optimized crystal structure of Cs2InSn4Pb3.

raw total energy: -3.29 eV/atom
calculated formation energy: -1.27 eV per formula unit
calculated density: 6.6 g/cm3

Unit cell a=5.261 b=5.261 c=13.477 alpha=90.00 beta=90.00 gamma=90.00
Space group P-4m2 (No. 115)
Unique sites:
Cs1 0.000 0.500 0.247
In1 0.500 0.500 0.000
Sn1 0.000 0.000 0.500
Sn2 0.000 0.500 0.875
Sn3 0.500 0.500 0.500
Pb1 0.000 0.000 0.000
Pb2 0.000 0.500 0.630



## LiLaFe2 (PBE-GGA)

Data for an optimized crystal structure of LiLaFe2.

raw total energy: -5.48 eV/atom
calculated formation energy: 1.83 eV per formula unit
calculated density: 6.3 g/cm3
excess energy over the best structure of this formula in the dataset: 245.9 meV per atom

Unit cell a=4.026 b=4.026 c=4.162 alpha=90.00 beta=90.00 gamma=90.00
Space group P4/mmm (No. 123)
Unique sites:
Li1 0.000 0.000 0.000
La1 0.500 0.500 0.000
Fe1 0.000 0.500 0.500



## LaNd12Dy6 (PBE-GGA)

Data for an optimized crystal structure of LaNd12Dy6.

raw total energy: -4.59 eV/atom
calculated formation energy: 2.47 eV per formula unit
calculated density: 7.1 g/cm3
excess energy over the best structure of this formula in the dataset: 0.0 meV per atom

Unit cell a=12.2061 b=12.2061 c=15.3945 alpha=90.00 beta=90.00 gamma=120.00
Space group R-3 (No. 148, hexagonal axes)
Unique sites:
La1 0.0000 0.0000 0.0000
Nd1 0.0050 0.8296 0.1920
Nd2 0.0462 0.8493 0.4165
Dy1 0.0134 0.4267 0.6858



## PrZnCdAg (PBE-GGA)

Data for an optimized crystal structure of PrZnCdAg.

raw total energy: -2.76 eV/atom
calculated formation energy: -1.21 eV per formula unit
calculated density: 8.0 g/cm3

Unit cell a=7.078 b=7.078 c=7.078 alpha=90.00 beta=90.00 gamma=90.00
Space group F-43m (No. 216)
Unique sites:
Pr1 0.000 0.000 0.000
Zn1 0.250 0.250 0.250
Cd1 0.000 0.000 0.500
Ag1 0.250 0.250 0.750



## CdAgAs2 (PBE-GGA)

Data for an optimized crystal structure of CdAgAs2.

raw total energy: -3.02 eV/atom
calculated formation energy: 0.97 eV per formula unit
calculated density: 7.6 g/cm3

Unit cell a=3.110 b=3.110 c=8.335 alpha=90.00 beta=90.00 gamma=90.00
Space group P4/mmm (No. 123)
Unique sites:
Cd1 0.000 0.000 0.000
Ag1 0.000 0.000 0.500
As1 0.500 0.500 0.263



## TmTh2Sc (PBE-GGA)

Data for an optimized crystal structure of TmTh2Sc.

raw total energy: -6.37 eV/atom
calculated formation energy: 0.17 eV per formula unit
calculated density: 9.4 g/cm3
excess energy over the best structure of this formula in the dataset: 12.2 meV per atom

Unit cell a=7.012 b=9.761 c=3.497 alpha=90.00 beta=90.00 gamma=90.00
Space group Cmmm (No. 65)
Unique sites:
Tm1 0.000 0.000 0.000
Th1 0.250 0.250 0.500
Sc1 0.000 0.500 0.000



## CrTcPdS2 (PBE-GGA)

Data for an optimized crystal structure of CrTcPdS2.

raw total energy: -5.77 eV/atom
ΔE_f (raw): 0.91 eV/atom
calculated density: 5.6 g/cm3

Unit cell a=4.555 b=4.555 c=4.546 alpha=90.00 beta=90.00 gamma=90.00
Space group P4/mmm (No. 123)
Unique sites:
Cr1 0.000 0.000 0.000
Tc1 0.000 0.000 0.500
Pd1 0.500 0.500 0.000
S1 0.000 0.500 0.500